1.
Here is a geometry-optimized SrLiZnPt2 structure from Alexandria. Energies are from PBE.

Summary:
**Energy relative to the elements**: -681 meV/atom
**SG**: No. 119

Lattice parameters (Å, degrees): 4.209 4.209 6.376 109.27 109.27 90.00
Fractional positions:
Pt (0.616, 0.616, 0.233)
Pt (0.384, 0.384, 0.767)
Li (0.250, 0.750, 0.500)
Zn (0.750, 0.250, 0.500)
Sr (0.000, 0.000, 0.000)

=====

2.
Here is a geometry-optimized LiTaPt4 structure from Alexandria. Energies are from PBE.

Summary:
**Energy relative to the elements**: -281 meV/atom
**SG**: No. 216
**Energy above the lowest structure with this stoichiometry**: 261 meV/atom

Lattice parameters (Å, degrees): 5.222 5.222 5.222 60.00 60.00 60.00
Fractional positions:
Pt (0.876, 0.375, 0.375)
Pt (0.375, 0.375, 0.876)
Pt (0.375, 0.876, 0.375)
Pt (0.375, 0.375, 0.375)
Li (0.000, 0.000, 0.000)
Ta (0.750, 0.750, 0.750)

=====

3.
Here is a geometry-optimized LiTaPt3 structure from Alexandria. Energies are from PBE.

Summary:
**Energy relative to the elements**: -379 meV/atom
**SG**: No. 62
**Energy above the lowest structure with this stoichiometry**: 98 meV/atom

Lattice parameters (Å, degrees): 6.884 6.733 6.950 90.00 90.00 90.00
Fractional positions:
Pt (0.148, 0.857, 0.556)
Pt (0.615, 0.270, 0.750)
Pt (0.852, 0.143, 0.056)
Pt (0.352, 0.357, 0.444)
Pt (0.385, 0.730, 0.250)
Pt (0.885, 0.770, 0.250)
Pt (0.648, 0.643, 0.944)
Pt (0.115, 0.230, 0.750)
Pt (0.148, 0.857, 0.944)
Pt (0.852, 0.143, 0.444)
Pt (0.352, 0.357, 0.056)
Pt (0.648, 0.643, 0.556)
Ta (0.500, 0.000, 0.500)
Ta (0.000, 0.500, 0.000)
Ta (0.500, 0.000, 0.000)
Ta (0.000, 0.500, 0.500)
Li (0.166, 0.083, 0.250)
Li (0.334, 0.583, 0.750)
Li (0.666, 0.417, 0.250)
Li (0.834, 0.917, 0.750)

=====

4.
Here is a geometry-optimized Li3TaPt structure from Alexandria. Energies are from PBE.

Summary:
**Energy relative to the elements**: 798 meV/atom
**SG**: No. 221
**Energy above the lowest structure with this stoichiometry**: 0 meV/atom

Lattice parameters (Å, degrees): 4.387 4.387 4.387 90.00 90.00 90.00
Site moments in Bohr magnetons follow the coordinates.
Fractional positions:
Li (0.000, 0.000, 0.500)  0.01
Li (0.000, 0.500, 0.000)  0.00
Li (0.500, 0.000, 0.000)  0.00
Pt (0.000, 0.000, 0.000)  0.05
Ta (0.500, 0.500, 0.500)  0.67

=====

5.
Here is a geometry-optimized LiTaPt3 structure from Alexandria. Energies are from PBE.

Summary:
**Energy relative to the elements**: -477 meV/atom
**SG**: No. 2
**Energy above the lowest structure with this stoichiometry**: 0 meV/atom

Lattice parameters (Å, degrees): 5.288 5.998 7.261 113.69 71.00 128.73
Fractional positions:
Pt (0.408, 0.204, 0.647)
Pt (0.592, 0.796, 0.353)
Pt (0.133, 0.616, 0.677)
Pt (0.500, 0.000, 0.000)
Pt (0.867, 0.384, 0.323)
Pt (0.000, 0.000, 0.000)
Ta (0.766, 0.786, 0.648)
Ta (0.234, 0.214, 0.352)
Li (0.248, 0.495, 0.982)
Li (0.752, 0.505, 0.018)

=====

6.
Here is a geometry-optimized Li3TaPt4 structure from Alexandria. Energies are from PBE.

Summary:
**Energy relative to the elements**: -664 meV/atom
**SG**: No. 12

Lattice parameters (Å, degrees): 4.122 4.122 7.380 106.32 106.32 89.96
Fractional positions:
Ta (0.500, 0.000, 0.000)
Li (0.000, 0.500, 0.000)
Li (0.755, 0.255, 0.509)
Li (0.245, 0.745, 0.491)
Pt (0.375, 0.374, 0.749)
Pt (0.874, 0.875, 0.749)
Pt (0.625, 0.626, 0.251)
Pt (0.126, 0.125, 0.251)

=====

7.
Here is a geometry-optimized LiTaPt2 structure from Alexandria. Energies are from PBE.

Summary:
**Energy relative to the elements**: -656 meV/atom
**SG**: No. 139

Lattice parameters (Å, degrees): 4.714 4.714 4.714 129.79 129.80 73.73
Fractional positions:
Pt (0.500, 0.500, 0.000)
Pt (0.000, 0.000, 0.000)
Ta (0.750, 0.250, 0.500)
Li (0.250, 0.750, 0.500)

=====

8.
Here is a geometry-optimized LiTaPt2 structure from Alexandria. Energies are from PBE.

Summary:
**Energy relative to the elements**: -427 meV/atom
**SG**: No. 166

Lattice parameters (Å, degrees): 9.045 9.045 9.045 18.16 18.16 18.16
Fractional positions:
Pt (0.002, 0.002, 0.002)
Pt (0.498, 0.498, 0.498)
Ta (0.250, 0.250, 0.250)
Li (0.750, 0.750, 0.750)

=====

9.
Here is a geometry-optimized LiTaPt2 structure from Alexandria. Energies are from PBE.

Summary:
**Energy relative to the elements**: -183 meV/atom
**SG**: No. 99

Lattice parameters (Å, degrees): 2.772 2.772 8.318 90.00 90.00 90.00
Fractional positions:
Pt (0.500, 0.500, 0.245)
Pt (0.000, 0.000, 0.989)
Li (0.500, 0.500, 0.780)
Ta (0.000, 0.000, 0.486)

=====

10.
Here is a geometry-optimized LiTaPt2 structure from Alexandria. Energies are from PBE.

Summary:
**Energy relative to the elements**: -163 meV/atom
**SG**: No. 122

Lattice parameters (Å, degrees): 6.975 6.975 5.656 51.93 51.93 90.00
Fractional positions:
Pt (0.375, 0.374, 0.750)
Pt (0.875, 0.876, 0.750)
Pt (0.626, 0.125, 0.250)
Pt (0.124, 0.625, 0.250)
Ta (0.000, 0.000, 0.000)
Ta (0.750, 0.250, 0.500)
Li (0.250, 0.750, 0.500)
Li (0.500, 0.500, 0.000)

=====

11.
Here is a geometry-optimized LiTaPt2 structure from Alexandria. Energies are from PBE.

Summary:
**Energy relative to the elements**: -307 meV/atom
**SG**: No. 216

Lattice parameters (Å, degrees): 4.426 4.426 4.426 60.00 60.00 60.00
Fractional positions:
Li (0.500, 0.500, 0.500)
Pt (0.250, 0.250, 0.250)
Pt (0.000, 0.000, 0.000)
Ta (0.750, 0.750, 0.750)

=====

12.
Here is a geometry-optimized LiTaPt3 structure from Alexandria. Energies are from PBE.

Summary:
**Energy relative to the elements**: 518 meV/atom
**SG**: No. 221
**Energy above the lowest structure with this stoichiometry**: 994 meV/atom

Lattice parameters (Å, degrees): 4.915 4.915 4.915 90.00 90.00 90.00
Fractional positions:
Ta (0.000, 0.000, 0.000)
Pt (0.500, 0.000, 0.000)
Pt (0.000, 0.500, 0.000)
Pt (0.000, 0.000, 0.500)
Li (0.500, 0.500, 0.500)

=====

| no. | total moment (μB per formula unit) |
| --- | --- |
| 1 | 0.0 |
| 2 | 0.0 |
| 3 | 0.0 |
| 4 | 1.1 |
| 5 | 0.0 |
| 6 | 0.0 |
| 7 | 0.0 |
| 8 | 0.0 |
| 9 | 0.0 |
| 10 | 0.0 |
| 11 | 0.0 |
| 12 | 0.0 |